SrV2Sn2, optimized geometry, DFT PBE; M_tot = 0.60 Bohr magnetons per cell; symmetry = I4/mmm, No. 139; excess energy over the best structure of this formula in the dataset = 0 meV/atom
1.0
-2.123 2.123 6.448
2.123 -2.123 6.448
2.123 2.123 -6.448
Sr V Sn
1 2 2
direct
0.000 0.000 0.000
0.250 0.750 0.500
0.750 0.250 0.500
0.381 0.381 0.000
0.619 0.619 0.000

=====

SrV3Sn, optimized geometry, DFT PBE; M_tot = 10.87 Bohr magnetons per cell; symmetry = Pm-3m, No. 221; excess energy over the best structure of this formula in the dataset = 0 meV/atom
1.0
5.240 0.000 0.000
0.000 5.240 0.000
0.000 0.000 5.240
Sr V Sn
1 3 1
direct
0.000 0.000 0.000
0.000 0.500 0.500
0.500 0.000 0.500
0.500 0.500 0.000
0.500 0.500 0.500

=====

SrVSn3, optimized geometry, DFT PBE; M_tot = 3.24 Bohr magnetons per cell; symmetry = Pm-3m, No. 221; excess energy over the best structure of this formula in the dataset = 1544 meV/atom
1.0
5.863 0.000 0.000
0.000 5.863 0.000
0.000 0.000 5.863
Sr V Sn
1 1 3
direct
0.000 0.000 0.000
0.500 0.500 0.500
0.000 0.000 0.500
0.000 0.500 0.000
0.500 0.000 0.000

=====

SrV2Sn2, optimized geometry, DFT PBE; M_tot = 0.00 Bohr magnetons per cell; symmetry = I4/mmm, No. 139; excess energy over the best structure of this formula in the dataset = 110 meV/atom
1.0
-2.392 2.392 5.131
2.392 -2.392 5.131
2.392 2.392 -5.131
Sr V Sn
1 2 2
direct
0.000 0.000 0.000
0.410 0.410 0.000
0.590 0.590 0.000
0.250 0.750 0.500
0.750 0.250 0.500

=====

SrV2Sn2, optimized geometry, DFT PBE; M_tot = 0.00 Bohr magnetons per cell; symmetry = P4/mbm, No. 127; excess energy over the best structure of this formula in the dataset = 84 meV/atom
1.0
8.366 0.000 0.000
0.000 8.366 0.000
0.000 0.000 3.038
Sr V Sn
2 4 4
direct
0.000 0.000 0.000
0.500 0.500 0.000
0.100 0.400 0.000
0.400 0.900 0.000
0.600 0.100 0.000
0.900 0.600 0.000
0.183 0.683 0.500
0.317 0.183 0.500
0.683 0.817 0.500
0.817 0.317 0.500

=====

Sr2VSn, optimized geometry, DFT PBE; M_tot = 7.77 Bohr magnetons per cell; symmetry = I-42d, No. 122
1.0
-4.480 4.480 3.286
4.480 -4.480 3.286
4.480 4.480 -3.286
Sr V Sn
4 2 2
direct
0.116 0.625 0.991
0.375 0.366 0.491
0.634 0.125 0.009
0.875 0.884 0.509
0.000 0.000 0.000
0.750 0.250 0.500
0.250 0.750 0.500
0.500 0.500 0.000

=====

Computed E, in the same sequence as the records: -5.597, -5.519, -3.189, -5.486, -5.513, -3.620 eV/atom.
Computed energy relative to the elements, in the same sequence as the records: -0.012, 1.090, 1.373, 0.099, 0.072, 0.501 eV/atom.